(1)
HgAu2Br: relaxed, PBE-GGA.

Calculated values
ΔE_f (raw) = 0.19 eV per atom
SG = No. 99
Excess energy over the best structure of this formula in the dataset = 0.173 eV/atom

Structure (POSCAR):
```
HgAu2Br
1.0
-1.545 0.439 3.181
3.130 -0.582 1.601
1.428 6.946 -0.265
Au Hg Br
2 1 1
Cartesian
0.027 0.132 -0.005 Au
1.089 1.371 2.336 Au
1.916 5.395 2.182 Hg
0.694 3.377 -0.129 Br
```

***

(2)
Tb2CdGe3Pt4: relaxed, PBE-GGA.

Calculated values
SG = No. 115
E_form = -0.8159 eV/atom

Structure (POSCAR):
```
Tb2CdGe3Pt4
1.0
4.189 0.000 0.000
0.000 4.189 0.000
0.000 0.000 11.072
Tb Cd Ge Pt
2 1 3 4
Cartesian
2.095 0.000 2.694 Tb
0.000 2.095 8.378 Tb
2.095 2.095 5.536 Cd
0.000 0.000 5.536 Ge
2.095 0.000 9.646 Ge
0.000 2.095 1.426 Ge
2.095 2.095 0.000 Pt
0.000 0.000 0.000 Pt
2.095 0.000 7.258 Pt
0.000 2.095 3.814 Pt
```

***

(3)
LaBe2TcSb: relaxed, PBE-GGA.

Calculated values
ΔE_f (raw) = -0.02 eV per atom
SG = No. 123

Structure (POSCAR):
```
LaBe2TcSb
1.0
4.528 0.000 0.000
0.000 4.528 0.000
0.000 0.000 4.981
Sb Be Tc La
1 2 1 1
Cartesian
0.000 0.000 2.491 Sb
0.000 2.264 0.000 Be
2.264 0.000 0.000 Be
0.000 0.000 0.000 Tc
2.264 2.264 2.491 La
```

***

(4)
BaF: relaxed, PBE-GGA.

Calculated values
ΔE_f (raw) = -2.63 eV per atom
SG = No. 216

Structure (POSCAR):
```
BaF
1.0
6.384 0.000 0.000
0.000 6.384 0.000
0.000 0.000 6.384
Ba F
4 4
Cartesian
0.000 0.000 0.000 Ba
0.000 3.192 3.192 Ba
3.192 0.000 3.192 Ba
3.192 3.192 0.000 Ba
1.596 1.596 1.596 F
1.596 4.788 4.788 F
4.788 1.596 4.788 F
4.788 4.788 1.596 F
```

***

Magnetic moment values, unit μB/cell, following the record order: 0.0 0.0 0.0 3.3.
Calculated volume values, unit Å³/cell, following the record order: 90.1 194.3 102.1 260.2.
N(E_F) values, unit states/eV per cell, following the record order: 1.29 4.39 3.85 8.64.